# PBE-GGA Sr2CaPbF, relaxed
# Uncorrected formation energy (eV/atom): -0.82
# Energy above the lowest structure with this stoichiometry (kJ per mole of atoms): 44.3
# N(E_F) (states/eV/cell): 4.49
# Space group: No. 123
# E (eV per atom): -3.01
data_Sr2CaPbF
_space_group_name_H-M_alt 'P 1'
_space_group_IT_number 1
_cell_length_a 6.914
_cell_length_b 4.190
_cell_length_c 6.914
_cell_angle_alpha 90.00
_cell_angle_beta 90.00
_cell_angle_gamma 90.00
loop_
_space_group_symop_operation_xyz
'x,y,z'
loop_
_atom_site_label
_atom_site_fract_x
_atom_site_fract_y
_atom_site_fract_z
_atom_site_occupancy
Ca1 0.000 0.000 0.000 1
Pb1 0.500 0.500 0.500 1
F1 0.000 0.500 0.000 1
Sr1 0.000 0.000 0.500 1
Sr2 0.500 0.000 0.000 1